Computed, not measured: a geometry-optimized CdCu5Au4 structure at the PBE-GGA level of DFT.

Geometry as POSCAR:
```
CdCu5Au4
1.0
7.091 -2.055 0.000
7.091 2.055 0.000
-1.583 0.000 5.283
Cd Cu Au
1 5 4
direct
0.000 0.000 0.000 Cd
0.000 0.000 0.500 Cu
0.192 0.192 0.616 Cu
0.402 0.402 0.187 Cu
0.598 0.598 0.813 Cu
0.808 0.808 0.384 Cu
0.208 0.208 0.123 Au
0.397 0.397 0.662 Au
0.603 0.603 0.338 Au
0.792 0.792 0.877 Au
```

Results
E_form ... -0.0340 eV/atom
Size of the total moment ... 0.00 μB/f.u.
Space group ... C2/m, No. 12
Energy above the most stable polymorph in this dataset ... 0.000 eV per formula unit